Here is a geometry-optimized Cs2KIn2Br6 structure from Alexandria. Energies are from PBE-GGA. Values from VASP.

Values from the calculation:
**Raw total energy**: -2.917 eV per atom
**Space-group type**: No. 12
**DOS(E_F)**: 5.82 states/eV/f.u.

Geometry as Quantum ESPRESSO input:
```
&SYSTEM
  ibrav = 0, nat = 11, ntyp = 4
/
ATOMIC_SPECIES
Cs 132.91 Cs.upf
K 39.10 K.upf
In 114.82 In.upf
Br 79.90 Br.upf
CELL_PARAMETERS angstrom
8.405 0.000 0.000
-4.203 6.950 -0.321
0.000 -4.438 8.935
ATOMIC_POSITIONS crystal
Cs 0.707 0.413 0.182
Cs 0.293 0.587 0.818
K 0.500 0.000 0.500
In 0.963 0.926 0.832
In 0.037 0.074 0.168
Br 0.760 0.520 0.575
Br 0.189 0.854 0.196
Br 0.335 0.146 0.804
Br 0.811 0.146 0.804
Br 0.665 0.854 0.196
Br 0.240 0.480 0.425
```